# KYSe2

A geometry-optimized KYSe2 structure (GGA-PBE, Alexandria).

```
data_KYSe2
_symmetry_space_group_name_H-M 'P 1 2/m 1'
_symmetry_Int_Tables_number 10
_cell_length_a 3.651
_cell_length_b 3.651
_cell_length_c 7.960
_cell_angle_alpha 90.00
_cell_angle_beta 90.71
_cell_angle_gamma 90.00
loop_
_symmetry_equiv_pos_as_xyz
'x,y,z'
'-x,-y,-z'
'-x,y,-z'
'x,-y,z'
loop_
_atom_site_label
_atom_site_type_symbol
_atom_site_fract_x
_atom_site_fract_y
_atom_site_fract_z
K1 K 0.000 0.000 0.000
Y1 Y 0.000 0.000 0.500
Se1 Se 0.494 0.500 0.708
```

Calculated values
uncorrected energy	-5.125	eV/atom
DOS at the Fermi energy	0.381	states/eV/cell
uncorrected formation energy	-1.492	eV/atom